# NaMg2CdAu

NaMg2CdAu after structural relaxation (PBE, Alexandria via LeMat-Bulk).

Calculated values
Fermi-level density of states ... 1.9 states/eV/cell
V ... 29.1 Å³/atom
Energy relative to the elements ... 2.79 eV/f.u.

Cell lengths 5.369, 5.369, 5.050 Å; angles 90.00, 90.00, 90.00 degrees
Sites, in units of the cell vectors:
Na (0.000, 0.000, 0.000)
Mg (0.000, 0.500, 0.000)
Mg (0.500, 0.000, 0.000)
Cd (0.500, 0.500, 0.500)
Au (0.000, 0.000, 0.500)